Entry from the Alexandria database: an optimized crystal structure of Tb5ScPb4 (PBE-GGA).

a b c (Å): 17.515 3.619 9.647
angles (deg): 90.00 90.61 90.00
Space group C2/m (No. 12)
Unique sites:
1 Tb 0.000 0.000 0.000 x2
2 Tb 0.156 0.500 0.264 x4
3 Tb 0.188 0.500 0.892 x4
4 Sc 0.000 0.000 0.500 x2
5 Pb 0.026 0.500 0.739 x4
6 Pb 0.178 0.000 0.573 x4

Energy   -4.64 eV/atom

Entry from the Alexandria database: an optimized crystal structure of Tb5ScPb5 (PBE-GGA).

a b c (Å): 16.106 6.114 7.229
angles (deg): 90.00 105.24 90.00
Space group C2/m (No. 12)
Unique sites:
1 Tb 0.000 0.000 0.000 x2
2 Tb 0.154 0.500 0.284 x4
3 Tb 0.175 0.500 0.798 x4
4 Sc 0.000 0.000 0.500 x2
5 Pb 0.000 0.500 0.500 x2
6 Pb 0.162 0.000 0.856 x4
7 Pb 0.164 0.000 0.387 x4

Energy   -4.63 eV/atom

Entry from the Alexandria database: an optimized crystal structure of Tb2ScPb9 (PBE-GGA).

a b c (Å): 4.872 4.872 14.506
angles (deg): 90.00 90.00 90.00
Space group P4/mmm (No. 123)
Unique sites:
1 Tb 0.000 0.000 0.167 x2
2 Sc 0.000 0.000 0.500 x1
3 Pb 0.000 0.500 0.000 x2
4 Pb 0.000 0.500 0.339 x4
5 Pb 0.500 0.500 0.169 x2
6 Pb 0.500 0.500 0.500 x1

Energy   -4.32 eV/atom

Entry from the Alexandria database: an optimized crystal structure of Tb4Sc4Pb7 (PBE-GGA).

a b c (Å): 15.935 15.935 6.466
angles (deg): 90.00 90.00 90.00
Space group I4/mmm (No. 139)
Unique sites:
1 Tb 0.000 0.188 0.000 x8
2 Tb 0.132 0.132 0.500 x8
3 Sc 0.151 0.349 0.250 x16
4 Pb 0.000 0.000 0.249 x4
5 Pb 0.000 0.276 0.500 x8
6 Pb 0.000 0.400 0.000 x8
7 Pb 0.197 0.197 0.000 x8

Energy   -5.12 eV/atom